# 1
Na2SrLaPt, optimized geometry, DFT PBEsol; final energy = -0.230 Ry per atom; energy relative to the elements = 0.2621 eV/atom; spin magnetization = 0.40 μB/f.u.
1.0
-0.6371 -5.2344 1.4362
2.4862 -1.5668 -4.6077
4.9456 0.1191 2.6279
La Na Pt Sr
1 2 1 1
Direct
0.5000 0.5000 0.5000
0.0000 0.5000 0.0000
0.5000 0.0000 0.0000
0.0000 0.0000 0.0000
0.0000 0.0000 0.5000

# 2
Li4Fe2Co3Sn3O16, optimized geometry, DFT PBEsol; formation energy from raw total energies = -1467 meV per atom; final energy = -0.490 Ry per atom; spin magnetization = 8.97 μB/f.u.
1.0
-0.7705 1.7870 5.5979
-1.2349 -3.9455 4.2464
9.0518 -1.1412 1.7304
O Li Co Sn Fe
16 4 3 3 2
Direct
0.6584 0.6584 0.3889
0.8493 0.3293 0.8993
0.0359 0.4658 0.6588
0.6748 0.1762 0.3990
0.3177 0.3177 0.9070
0.5245 0.5245 0.1719
0.3293 0.8493 0.8993
0.4928 0.9663 0.1560
0.0133 0.0133 0.1854
0.8293 0.8293 0.9117
0.0111 0.0111 0.6830
0.4813 0.4813 0.6545
0.4658 0.0359 0.6588
0.1659 0.1659 0.3868
0.9663 0.4928 0.1560
0.1762 0.6748 0.3990
0.1325 0.1325 0.0385
0.6602 0.6602 0.6001
0.0137 0.0137 0.4944
0.3439 0.3439 0.1304
0.8314 0.3394 0.2855
0.3394 0.8314 0.2855
0.1686 0.1686 0.7820
0.6619 0.1645 0.7906
0.1645 0.6619 0.7906
0.8320 0.8320 0.2760
0.3292 0.3292 0.4958
0.6566 0.6566 0.0048

# 3
ZrCuRe2O, optimized geometry, DFT PBEsol; formation energy from raw total energies = 1706 meV per atom; final energy = -0.541 Ry per atom; spin magnetization = 0.65 μB/f.u.
1.0
3.8489 0.0000 0.0000
0.0000 4.9058 0.0000
0.0000 0.0000 4.9058
Re Zr O Cu
2 1 1 1
Direct
0.0000 0.0000 0.5000
0.0000 0.5000 0.0000
0.0000 0.0000 0.0000
0.5000 0.0000 0.0000
0.5000 0.5000 0.5000

# 4
Zr2TaCl, optimized geometry, DFT PBEsol; formation energy from raw total energies = 59 meV per atom; final energy = -0.597 Ry per atom; spin magnetization = 0.00 μB/f.u.
1.0
3.0454 0.0000 0.0000
0.0000 5.0592 0.0000
0.0000 0.0000 5.0592
Cl Zr Ta
1 2 1
Direct
0.5000 0.5000 0.5000
0.0000 0.0000 0.5000
0.0000 0.5000 0.0000
0.5000 0.0000 0.0000

# 5
Sc4TlPt, optimized geometry, DFT PBEsol; final energy = -0.435 Ry per atom; energy relative to the elements = 0.0893 eV/atom; spin magnetization = 0.00 μB/f.u.
1.0
-4.0343 -2.0494 -3.2224
0.9336 -0.8641 -5.4075
0.3747 -5.1842 -1.9603
Sc Tl Pt
4 1 1
Direct
0.8770 0.3743 0.3743
0.3743 0.3743 0.3743
0.3743 0.3743 0.8770
0.3743 0.8770 0.3743
0.7500 0.7500 0.7500
0.0000 0.0000 0.0000

# 6
LiNiCl2, optimized geometry, DFT PBEsol; formation energy from raw total energies = -756 meV per atom; final energy = -0.279 Ry per atom; spin magnetization = 1.00 μB/f.u.
1.0
3.3701 0.0000 0.0000
-1.6850 3.3361 0.0000
0.0000 0.0000 6.5216
Cl Ni Li
2 1 1
Direct
0.0000 0.0000 0.2388
0.0000 0.0000 0.7612
0.5000 0.0000 0.0000
0.5000 0.0000 0.5000

# 7
Li2SbPb, optimized geometry, DFT PBEsol; formation energy from raw total energies = -363 meV per atom; final energy = -0.256 Ry per atom; spin magnetization = 0.00 μB/f.u.
1.0
4.9327 0.0000 0.0000
2.4663 4.2718 0.0000
2.4663 1.4239 4.0275
Li Sb Pb
2 1 1
Direct
0.7500 0.7500 0.7500
0.2500 0.2500 0.2500
0.5000 0.5000 0.5000
0.0000 0.0000 0.0000

# 8
ScTePbI2, optimized geometry, DFT PBEsol; formation energy from raw total energies = 223 meV per atom; final energy = -0.243 Ry per atom; spin magnetization = 1.15 μB/f.u.
1.0
-4.6742 -2.7193 -2.3155
1.7603 -5.0724 2.4034
-3.1767 1.2438 4.9518
I Pb Sc Te
2 1 1 1
Direct
0.0000 0.5000 0.0000
0.5000 0.0000 0.0000
0.0000 0.0000 0.0000
0.5000 0.5000 0.5000
0.0000 0.0000 0.5000

# 9
MgAsP3, optimized geometry, DFT PBEsol; final energy = -0.302 Ry per atom; energy relative to the elements = 0.7261 eV/atom; spin magnetization = 0.00 μB/f.u.
1.0
-1.6756 -2.0589 -3.8783
4.2610 -1.7645 -0.9043
-1.0599 -3.8386 2.4958
As P Mg
1 3 1
Direct
0.0000 0.0000 0.0000
0.0000 0.0000 0.5000
0.5000 0.0000 0.0000
0.0000 0.5000 0.0000
0.5000 0.5000 0.5000

# 10
NbPdAu2, optimized geometry, DFT PBEsol; final energy = -0.464 Ry per atom; energy relative to the elements = -0.1569 eV/atom; spin magnetization = 0.00 μB/f.u.
1.0
-3.1461 -3.0676 -1.0867
-0.9579 -3.3717 2.8641
-3.9611 -0.0528 2.1898
Au Nb Pd
2 1 1
Direct
0.2500 0.2500 0.2500
0.7500 0.7500 0.7500
0.0000 0.0000 0.0000
0.5000 0.5000 0.5000

# 11
CaCo2W, optimized geometry, DFT PBEsol; final energy = -0.540 Ry per atom; energy relative to the elements = 0.5001 eV/atom; spin magnetization = 0.23 μB/f.u.
1.0
2.6369 0.0000 0.0000
0.0000 4.4570 0.0000
-1.3184 -2.2285 4.9297
Co Ca W
2 1 1
Direct
0.7401 0.2401 0.4802
0.0368 0.0368 0.0735
0.2580 0.7580 0.5160
0.4652 0.4652 0.9303

# 12
CrBi2SbN, optimized geometry, DFT PBEsol; formation energy from raw total energies = 1911 meV per atom; final energy = -0.328 Ry per atom; spin magnetization = 5.94 μB/f.u.
1.0
5.0036 0.0000 0.0000
0.0000 5.8509 0.0000
0.0000 0.0000 5.8509
Bi Sb Cr N
2 1 1 1
Direct
0.0000 0.0000 0.5000
0.0000 0.5000 0.0000
0.0000 0.0000 0.0000
0.5000 0.0000 0.0000
0.5000 0.5000 0.5000